No. 1
! LiCu2Pt, single point on PBEsol structure, DFT meta-GGA SCAN; values from VASP
! * DOS(E_F): 0.26 states/eV/atom
! * ΔH_f (0 K): -0.26 eV per atom
&SYSTEM
  ibrav = 0, nat = 4, ntyp = 3
/
ATOMIC_SPECIES
Pt 195.08 Pt.upf
Cu 63.55 Cu.upf
Li 6.94 Li.upf
ATOMIC_POSITIONS angstrom
Pt 1.440 0.000 2.048
Cu 1.440 2.091 4.039
Cu 0.000 2.091 2.081
Li 1.440 2.091 0.063
CELL_PARAMETERS angstrom
2.880 0.000 0.000
0.000 4.182 0.000
-1.440 -2.091 4.115

***

No. 2
! MgPIr3, single point on PBEsol structure, DFT meta-GGA SCAN; values from VASP
! * DOS(E_F): 0.27 states/eV/atom
! * ΔH_f (0 K): 0.17 eV per atom
&SYSTEM
  ibrav = 0, nat = 5, ntyp = 3
/
ATOMIC_SPECIES
P 30.97 P.upf
Mg 24.30 Mg.upf
Ir 192.22 Ir.upf
ATOMIC_POSITIONS angstrom
P 0.000 0.000 0.000
Mg -3.697 -0.594 -0.530
Ir -1.274 -1.234 1.273
Ir -1.535 1.553 -0.030
Ir -0.888 -0.913 -1.773
CELL_PARAMETERS angstrom
-1.777 -1.826 -3.546
-2.547 -2.468 2.547
-3.069 3.105 -0.060

***

No. 3
! CrMoRh2, single point on PBEsol structure, DFT meta-GGA SCAN; values from VASP
! * DOS(E_F): 0.70 states/eV/atom
! * ΔH_f (0 K): -0.17 eV per atom
&SYSTEM
  ibrav = 0, nat = 4, ntyp = 3
/
ATOMIC_SPECIES
Cr 52.00 Cr.upf
Mo 95.94 Mo.upf
Rh 102.91 Rh.upf
ATOMIC_POSITIONS angstrom
Cr -2.465 -1.536 1.476
Mo 0.172 -1.223 1.425
Rh -1.217 -1.155 -0.845
Rh -1.421 0.842 0.895
CELL_PARAMETERS angstrom
-2.842 1.685 1.789
-2.434 -2.311 -1.689
0.345 -2.447 2.851

***

No. 4
! ZnTc2Se, single point on PBEsol structure, DFT meta-GGA SCAN; values from VASP
! * E_form (uncorrected): 0.29 eV/atom
! * DOS(E_F): 1.15 states/eV/atom
&SYSTEM
  ibrav = 0, nat = 4, ntyp = 3
/
ATOMIC_SPECIES
Se 78.96 Se.upf
Tc 98.00 Tc.upf
Zn 65.41 Zn.upf
ATOMIC_POSITIONS angstrom
Se 0.000 0.000 0.000
Tc 1.446 0.835 1.881
Tc 4.338 2.505 6.103
Zn 2.892 1.670 3.992
CELL_PARAMETERS angstrom
2.892 0.000 0.000
1.446 2.505 0.000
1.446 0.835 7.984

***

No. 5
! SnSeOF2, single point on PBEsol structure, DFT meta-GGA SCAN; values from VASP
! * E_form (uncorrected): -1.11 eV/atom
! * DOS(E_F): 0.14 states/eV/atom
&SYSTEM
  ibrav = 0, nat = 5, ntyp = 4
/
ATOMIC_SPECIES
O 16.00 O.upf
Sn 118.71 Sn.upf
Se 78.96 Se.upf
F 19.00 F.upf
ATOMIC_POSITIONS angstrom
O -0.361 -1.933 0.281
Sn 0.000 0.000 0.000
Se 0.777 -1.732 3.129
F -0.831 0.440 1.959
F 1.969 -0.238 0.888
CELL_PARAMETERS angstrom
-0.722 -3.867 0.563
3.938 -0.477 1.776
-1.661 0.880 3.919

***

No. 6
! Mn2Co21B6, single point on PBEsol structure, DFT meta-GGA SCAN; values from VASP
! * DOS(E_F): 0.93 states/eV/atom
! * ΔH_f (0 K): -0.12 eV per atom
&SYSTEM
  ibrav = 0, nat = 29, ntyp = 3
/
ATOMIC_SPECIES
Mn 54.94 Mn.upf
Co 58.93 Co.upf
B 10.81 B.upf
ATOMIC_POSITIONS angstrom
Mn 10.877 6.280 4.441
Mn 3.626 2.093 1.480
Co 0.000 0.000 0.000
Co 7.252 2.178 3.670
Co 7.252 4.187 0.830
Co 8.991 5.191 3.670
Co 5.512 5.191 3.670
Co 7.252 6.195 2.250
Co 7.252 4.187 5.091
Co 5.512 3.183 2.250
Co 8.991 3.183 2.250
Co 6.026 2.124 0.000
Co 1.226 2.124 0.000
Co 3.626 3.509 3.919
Co 1.226 0.708 2.002
Co 6.026 0.708 2.002
Co 3.626 4.864 2.002
Co 2.400 1.385 3.919
Co 2.400 4.156 0.000
Co 4.799 0.000 0.000
Co 4.852 4.156 0.000
Co 4.852 1.385 3.919
Co 2.452 0.000 0.000
B 5.627 3.249 4.287
B 8.876 3.249 4.287
B 7.252 2.311 1.634
B 8.876 5.125 1.634
B 5.627 5.125 1.634
B 7.252 6.062 4.287
CELL_PARAMETERS angstrom
7.252 0.000 0.000
3.626 6.280 0.000
3.626 2.093 5.921

***

No. 7
! BeCrIr2, single point on PBEsol structure, DFT meta-GGA SCAN; values from VASP
! * DOS(E_F): 0.65 states/eV/atom
! * ΔH_f (0 K): -0.47 eV per atom
&SYSTEM
  ibrav = 0, nat = 4, ntyp = 3
/
ATOMIC_SPECIES
Cr 52.00 Cr.upf
Ir 192.22 Ir.upf
Be 9.01 Be.upf
ATOMIC_POSITIONS angstrom
Cr 1.440 0.000 0.000
Ir 0.000 0.000 2.054
Ir 0.000 2.054 0.000
Be 1.440 2.054 2.054
CELL_PARAMETERS angstrom
2.879 0.000 0.000
0.000 4.108 0.000
0.000 0.000 4.108

***

No. 8
! BaHgAs2, single point on PBEsol structure, DFT meta-GGA SCAN; values from VASP
! * DOS(E_F): 0.28 states/eV/atom
! * ΔH_f (0 K): -0.46 eV per atom
&SYSTEM
  ibrav = 0, nat = 8, ntyp = 3
/
ATOMIC_SPECIES
As 74.92 As.upf
Hg 200.59 Hg.upf
Ba 137.33 Ba.upf
ATOMIC_POSITIONS angstrom
As 2.406 3.425 3.177
As 0.140 0.887 2.516
As 2.311 -2.334 5.362
As -1.463 3.771 0.330
Hg -1.603 2.884 2.846
Hg 0.000 0.000 0.000
Ba 3.299 -0.010 2.846
Ba 1.697 2.874 0.000
CELL_PARAMETERS angstrom
6.599 -0.020 0.000
-3.205 5.768 0.000
-1.697 -2.874 5.693

***

No. 9
! CdAgAu2, single point on PBEsol structure, DFT meta-GGA SCAN; values from VASP
! * DOS(E_F): 0.29 states/eV/atom
! * ΔH_f (0 K): -0.16 eV per atom
&SYSTEM
  ibrav = 0, nat = 4, ntyp = 3
/
ATOMIC_SPECIES
Au 196.97 Au.upf
Ag 107.87 Ag.upf
Cd 112.41 Cd.upf
ATOMIC_POSITIONS angstrom
Au -0.483 -0.567 2.358
Au 1.768 -1.515 -0.832
Ag -1.047 -0.975 -0.449
Cd 0.239 -3.057 1.077
CELL_PARAMETERS angstrom
-2.094 -1.951 -0.898
3.536 -3.030 -1.663
-0.965 -1.134 4.716

***

No. 10
! Mn2NbRe, single point on PBEsol structure, DFT meta-GGA SCAN; values from VASP
! * DOS(E_F): 1.12 states/eV/atom
! * ΔH_f (0 K): 0.01 eV per atom
&SYSTEM
  ibrav = 0, nat = 4, ntyp = 3
/
ATOMIC_SPECIES
Re 186.21 Re.upf
Nb 92.91 Nb.upf
Mn 54.94 Mn.upf
ATOMIC_POSITIONS angstrom
Re 4.223 2.438 1.724
Nb 0.000 0.000 0.000
Mn 2.112 1.219 0.862
Mn 6.335 3.658 2.586
CELL_PARAMETERS angstrom
4.223 0.000 0.000
2.112 3.658 0.000
2.112 1.219 3.448

***

No. 11
! Nd4Ge3S12, single point on PBEsol structure, DFT meta-GGA SCAN; values from VASP
! * E_form (uncorrected): -1.45 eV/atom
! * DOS(E_F): 0.00 states/eV/atom
&SYSTEM
  ibrav = 0, nat = 38, ntyp = 3
/
ATOMIC_SPECIES
Nd 144.24 Nd.upf
Ge 72.64 Ge.upf
S 32.06 S.upf
ATOMIC_POSITIONS angstrom
Nd 2.281 3.794 2.285
Nd -1.653 0.082 4.428
Nd 7.864 0.000 0.000
Nd 3.592 -1.733 7.288
Nd -0.342 7.178 2.143
Nd -2.965 5.609 5.145
Nd 0.969 1.651 7.430
Nd 3.930 0.000 0.000
Ge 2.713 -0.209 3.696
Ge 0.090 -2.221 7.906
Ge 1.401 5.318 5.877
Ge -2.533 2.430 7.544
Ge -1.221 3.306 1.667
Ge 4.024 7.957 2.029
S -1.281 2.198 9.351
S 5.064 4.605 2.525
S -3.291 4.529 7.781
S -2.559 8.097 3.820
S 1.130 -0.115 5.250
S 2.653 6.999 6.579
S 3.753 1.038 6.848
S 2.442 6.565 2.725
S 2.686 3.697 5.102
S 5.276 7.725 0.222
S -1.492 -0.922 7.048
S -0.181 5.411 4.323
S 1.954 2.051 0.031
S 3.964 1.472 2.994
S 5.888 -0.998 1.792
S 0.030 1.857 2.772
S -0.669 10.002 1.761
S 1.342 -3.670 6.801
S 3.997 -1.829 4.471
S 1.375 -0.741 8.922
S -1.248 2.570 5.753
S 0.063 4.786 0.651
S 3.265 -3.476 9.542
S 0.643 4.475 7.812
CELL_PARAMETERS angstrom
7.868 0.000 0.000
-2.623 11.054 0.000
-2.623 -5.527 9.573

***

No. 12
! LiZnCu2, single point on PBEsol structure, DFT meta-GGA SCAN; values from VASP
! * DOS(E_F): 0.26 states/eV/atom
! * ΔH_f (0 K): -0.08 eV per atom
&SYSTEM
  ibrav = 0, nat = 4, ntyp = 3
/
ATOMIC_SPECIES
Zn 65.41 Zn.upf
Cu 63.55 Cu.upf
Li 6.94 Li.upf
ATOMIC_POSITIONS angstrom
Zn 1.314 1.525 2.128
Cu 0.000 2.186 0.043
Cu 0.000 -0.661 2.084
Li 1.314 0.000 0.000
CELL_PARAMETERS angstrom
2.628 0.000 0.000
0.000 4.373 0.087
0.000 -1.323 4.169

***

No. 13
! NiHgBr2, single point on PBEsol structure, DFT meta-GGA SCAN; values from VASP
! * E_form (uncorrected): -0.23 eV/atom
! * DOS(E_F): 0.16 states/eV/atom
&SYSTEM
  ibrav = 0, nat = 4, ntyp = 3
/
ATOMIC_SPECIES
Br 79.90 Br.upf
Hg 200.59 Hg.upf
Ni 58.69 Ni.upf
ATOMIC_POSITIONS angstrom
Br 6.379 -1.199 2.695
Br 1.981 -0.561 -0.180
Hg 2.714 -1.913 2.999
Ni 0.625 -2.125 -1.157
CELL_PARAMETERS angstrom
-0.841 -3.158 0.584
2.091 -1.093 -2.899
6.269 -0.667 5.414

***

No. 14
! VPO5, single point on PBEsol structure, DFT meta-GGA SCAN; values from VASP
! * E_form (uncorrected): -2.48 eV/atom
! * DOS(E_F): 0.00 states/eV/atom
&SYSTEM
  ibrav = 0, nat = 28, ntyp = 3
/
ATOMIC_SPECIES
V 50.94 V.upf
P 30.97 P.upf
O 16.00 O.upf
ATOMIC_POSITIONS angstrom
V 1.542 5.250 5.058
V 4.627 1.678 6.261
V 1.542 5.467 1.285
V 4.627 1.895 2.488
P 4.627 4.409 4.682
P 1.542 0.836 6.637
P 4.627 6.309 0.909
P 1.542 2.736 2.864
O 1.542 3.569 4.152
O 3.395 5.321 4.725
O 5.858 5.321 4.725
O 4.627 1.166 4.753
O 1.542 7.059 5.381
O 4.627 3.486 5.938
O 1.542 4.738 6.566
O 0.311 1.748 6.594
O 2.774 1.748 6.594
O 4.627 7.141 7.167
O 1.542 0.004 0.379
O 3.395 5.397 0.952
O 5.858 5.397 0.952
O 4.627 2.407 0.980
O 4.627 3.577 3.394
O 4.627 0.086 2.165
O 1.542 5.979 2.793
O 0.311 1.824 2.821
O 2.774 1.824 2.821
O 1.542 3.659 1.608
CELL_PARAMETERS angstrom
6.169 0.000 0.000
0.000 7.145 0.000
0.000 0.000 7.546

***

No. 15
! Li2Mg3Si2, single point on PBEsol structure, DFT meta-GGA SCAN; values from VASP
! * E_form (uncorrected): -0.23 eV/atom
! * DOS(E_F): 0.01 states/eV/atom
&SYSTEM
  ibrav = 0, nat = 7, ntyp = 3
/
ATOMIC_SPECIES
Si 28.09 Si.upf
Mg 24.30 Mg.upf
Li 6.94 Li.upf
ATOMIC_POSITIONS angstrom
Si 6.690 3.863 0.111
Si 4.460 2.575 3.620
Mg 6.690 3.863 2.814
Mg 4.460 2.575 6.385
Mg 2.230 1.288 4.724
Li 2.230 1.288 1.716
Li 4.460 2.575 0.752
CELL_PARAMETERS angstrom
4.460 0.000 0.000
2.230 3.863 0.000
2.230 1.288 7.316

***

No. 16
! ZnOs2Rh, single point on PBEsol structure, DFT meta-GGA SCAN; values from VASP
! * DOS(E_F): 1.10 states/eV/atom
! * ΔH_f (0 K): 0.41 eV per atom
&SYSTEM
  ibrav = 0, nat = 4, ntyp = 3
/
ATOMIC_SPECIES
Os 190.23 Os.upf
Rh 102.91 Rh.upf
Zn 65.41 Zn.upf
ATOMIC_POSITIONS angstrom
Os -1.921 0.210 1.117
Os -5.848 0.639 3.400
Rh -3.959 -0.919 2.383
Zn -0.074 -1.343 0.125
CELL_PARAMETERS angstrom
-1.239 -1.464 -1.856
1.091 -1.223 2.106
-7.769 0.849 4.517

***

No. 17
! LiBe2Ru, single point on PBEsol structure, DFT meta-GGA SCAN; values from VASP
! * DOS(E_F): 0.24 states/eV/atom
! * ΔH_f (0 K): -0.25 eV per atom
&SYSTEM
  ibrav = 0, nat = 4, ntyp = 3
/
ATOMIC_SPECIES
Ru 101.07 Ru.upf
Be 9.01 Be.upf
Li 6.94 Li.upf
ATOMIC_POSITIONS angstrom
Ru 1.462 0.000 0.000
Be 0.000 0.000 1.851
Be 0.000 1.851 0.000
Li 1.462 1.851 1.851
CELL_PARAMETERS angstrom
2.924 0.000 0.000
0.000 3.701 0.000
0.000 0.000 3.701

***

No. 18
! Li5VCr3O8, single point on PBEsol structure, DFT meta-GGA SCAN; values from VASP
! * E_form (uncorrected): -2.32 eV/atom
! * DOS(E_F): 0.36 states/eV/atom
&SYSTEM
  ibrav = 0, nat = 17, ntyp = 4
/
ATOMIC_SPECIES
Li 6.94 Li.upf
V 50.94 V.upf
Cr 52.00 Cr.upf
O 16.00 O.upf
ATOMIC_POSITIONS angstrom
Li 8.804 5.083 0.985
Li 2.935 3.389 2.449
Li 2.935 1.694 3.913
Li 1.467 0.847 2.449
Li 4.402 0.847 2.449
V 5.869 3.389 2.449
Cr 1.467 2.541 0.000
Cr 4.402 2.541 0.000
Cr 2.935 0.000 0.000
O 8.804 5.083 3.772
O 4.495 4.182 1.169
O 7.244 4.182 1.169
O 5.869 1.801 1.169
O 5.869 4.976 3.729
O 4.495 2.595 3.729
O 7.244 2.595 3.729
O 2.935 1.694 1.126
CELL_PARAMETERS angstrom
5.869 0.000 0.000
2.935 5.083 0.000
2.935 1.694 4.898

***

No. 19
! BeTeP2Cl, single point on PBEsol structure, DFT meta-GGA SCAN; values from VASP
! * E_form (uncorrected): 0.37 eV/atom
! * DOS(E_F): 0.60 states/eV/atom
&SYSTEM
  ibrav = 0, nat = 5, ntyp = 4
/
ATOMIC_SPECIES
P 30.97 P.upf
Te 127.60 Te.upf
Be 9.01 Be.upf
Cl 35.45 Cl.upf
ATOMIC_POSITIONS angstrom
P 0.000 0.000 2.273
P 0.000 2.273 0.000
Te 2.076 2.273 2.273
Be 0.000 0.000 0.000
Cl 2.076 0.000 0.000
CELL_PARAMETERS angstrom
4.152 0.000 0.000
0.000 4.546 0.000
0.000 0.000 4.546

***

No. 20
! Mo2AsOs, single point on PBEsol structure, DFT meta-GGA SCAN; values from VASP
! * DOS(E_F): 0.78 states/eV/atom
! * ΔH_f (0 K): 0.17 eV per atom
&SYSTEM
  ibrav = 0, nat = 4, ntyp = 3
/
ATOMIC_SPECIES
Mo 95.94 Mo.upf
Os 190.23 Os.upf
As 74.92 As.upf
ATOMIC_POSITIONS angstrom
Mo -1.696 -1.745 1.185
Mo -5.083 -5.242 3.600
Os -3.389 -3.493 2.393
As -6.779 -6.987 4.785
CELL_PARAMETERS angstrom
-2.687 -0.241 -0.817
-0.886 -2.330 -1.316
-3.206 -4.415 6.917

***

No. 21
! HfZnN2, single point on PBEsol structure, DFT meta-GGA SCAN; values from VASP
! * E_form (uncorrected): -1.13 eV/atom
! * DOS(E_F): 0.00 states/eV/atom
&SYSTEM
  ibrav = 0, nat = 8, ntyp = 3
/
ATOMIC_SPECIES
Zn 65.41 Zn.upf
Hf 178.49 Hf.upf
N 14.01 N.upf
ATOMIC_POSITIONS angstrom
Zn -1.186 -1.537 2.753
Zn -1.759 -2.780 -0.325
Hf 1.304 -2.916 1.071
Hf 0.000 0.000 0.000
N -0.033 -3.884 -0.133
N -2.545 -2.513 1.557
N 2.285 0.147 3.280
N 0.530 -2.655 2.944
CELL_PARAMETERS angstrom
-4.249 -1.402 1.357
0.731 -4.159 -2.007
3.636 1.108 4.474

***

No. 22
! Cd2TcP, single point on PBEsol structure, DFT meta-GGA SCAN; values from VASP
! * DOS(E_F): 0.52 states/eV/atom
! * ΔH_f (0 K): 0.58 eV per atom
&SYSTEM
  ibrav = 0, nat = 4, ntyp = 3
/
ATOMIC_SPECIES
Cd 112.41 Cd.upf
P 30.97 P.upf
Tc 98.00 Tc.upf
ATOMIC_POSITIONS angstrom
Cd 0.000 0.000 2.270
Cd 0.000 0.000 7.169
P 1.013 1.326 4.719
Tc 1.013 1.326 0.000
CELL_PARAMETERS angstrom
2.750 -0.001 0.000
-0.725 2.653 0.000
0.000 0.000 9.438

***

No. 23
! KZrTl, single point on PBEsol structure, DFT meta-GGA SCAN; values from VASP
! * DOS(E_F): 1.05 states/eV/atom
! * ΔH_f (0 K): 0.28 eV per atom
&SYSTEM
  ibrav = 0, nat = 3, ntyp = 3
/
ATOMIC_SPECIES
K 39.10 K.upf
Tl 204.38 Tl.upf
Zr 91.22 Zr.upf
ATOMIC_POSITIONS angstrom
K 0.006 0.126 0.177
Tl 0.815 -0.096 3.622
Zr 0.135 2.873 4.051
CELL_PARAMETERS angstrom
-1.437 -2.350 1.715
2.908 -1.218 0.767
-0.515 6.472 5.369

***

No. 24
! InCo3Ir, single point on PBEsol structure, DFT meta-GGA SCAN; values from VASP
! * DOS(E_F): 1.06 states/eV/atom
! * ΔH_f (0 K): 2.07 eV per atom
&SYSTEM
  ibrav = 0, nat = 5, ntyp = 3
/
ATOMIC_SPECIES
Ir 192.22 Ir.upf
Co 58.93 Co.upf
In 114.82 In.upf
ATOMIC_POSITIONS angstrom
Ir 2.223 2.223 2.223
Co 0.000 2.223 0.000
Co 0.000 0.000 2.223
Co 2.223 0.000 0.000
In 0.000 0.000 0.000
CELL_PARAMETERS angstrom
4.446 0.000 0.000
0.000 4.446 0.000
0.000 0.000 4.446